# SnIrPd2

A relaxed SnIrPd2 crystal (PBE, the Alexandria database).

For the volume, the calculation gives 17.79 Å³ per atom. The density of states at the Fermi level comes out at 0.824 states/eV/atom. The formation energy is 31 kJ/mol of formula units. For the theoretical density, the calculation gives 12.22 Mg/m³.

```
data_SnIrPd2
_chemical_formula_sum 'Sn2 Ir2 Pd4'
_space_group_name_H-M_alt 'P 1'
_space_group_IT_number 1
_space_group_name_Hall 'P 1'
_cell_length_a 9.9618
_cell_length_b 9.9618
_cell_length_c 9.9618
_cell_angle_alpha 157.69
_cell_angle_beta 157.69
_cell_angle_gamma 31.76
loop_
_atom_site_label
_atom_site_type_symbol
_atom_site_fract_x
_atom_site_fract_y
_atom_site_fract_z
Sn1 Sn 0.0000 0.0000 0.0000
Sn2 Sn 0.7500 0.2500 0.5000
Ir1 Ir 0.2500 0.7500 0.5000
Ir2 Ir 0.5000 0.5000 0.0000
Pd1 Pd 0.1326 0.6250 0.0076
Pd2 Pd 0.3750 0.3826 0.5076
Pd3 Pd 0.6174 0.1250 0.9924
Pd4 Pd 0.8750 0.8674 0.4924
```